# 1
{"formula": "GaTcH", "functional": "PBE-GGA", "state": "relaxed", "spacegroup": "C2/m (12)", "e_tot_ev_per_atom": -5.541, "cell": [[4.534, -1.454, 0.000], [4.534, 1.454, 0.000], [-1.180, 0.000, 5.019]], "species": ["Ga", "Ga", "Tc", "Tc", "H", "H"], "frac_coords": [[0.000, 0.000, 0.000], [0.500, 0.500, 0.500], [0.229, 0.229, 0.768], [0.771, 0.771, 0.232], [0.190, 0.190, 0.372], [0.810, 0.810, 0.628]]}

---

# 2
{"formula": "GaTc2H", "functional": "PBE-GGA", "state": "relaxed", "spacegroup": "I-42d (122)", "e_tot_ev_per_atom": -6.612, "cell": [[-2.959, 2.959, 2.726], [2.959, -2.959, 2.726], [2.959, 2.959, -2.726]], "species": ["Ga", "Ga", "Tc", "Tc", "Tc", "Tc", "H", "H"], "frac_coords": [[0.000, 0.000, 0.000], [0.750, 0.250, 0.500], [0.225, 0.125, 0.600], [0.375, 0.775, 0.900], [0.525, 0.625, 0.400], [0.875, 0.475, 0.100], [0.250, 0.750, 0.500], [0.500, 0.500, 0.000]]}

---

# 3
{"formula": "GaTcH2", "functional": "PBE-GGA", "state": "relaxed", "spacegroup": "R3m (160)", "e_tot_ev_per_atom": -4.921, "cell": [[1.514, 0.874, 4.776], [-1.514, 0.874, 4.776], [0.000, -1.748, 4.776]], "species": ["Ga", "Tc", "H", "H"], "frac_coords": [[0.000, 0.000, 0.000], [0.816, 0.816, 0.816], [0.206, 0.206, 0.206], [0.441, 0.441, 0.441]]}

---

# 4
{"formula": "GaTcH", "functional": "PBE-GGA", "state": "relaxed", "spacegroup": "P2_1/m (11)", "e_tot_ev_per_atom": -5.476, "cell": [[4.037, 0.000, 0.000], [0.000, 3.147, 0.000], [-0.012, 0.000, 5.277]], "species": ["Ga", "Ga", "Tc", "Tc", "H", "H"], "frac_coords": [[0.250, 0.250, 0.025], [0.750, 0.750, 0.975], [0.250, 0.750, 0.620], [0.750, 0.250, 0.380], [0.254, 0.250, 0.423], [0.746, 0.750, 0.577]]}

---

# 5
{"formula": "GaTcH", "functional": "PBE-GGA", "state": "relaxed", "spacegroup": "I4mm (107)", "e_tot_ev_per_atom": -4.981, "cell": [[-1.701, 1.701, 3.695], [1.701, -1.701, 3.695], [1.701, 1.701, -3.695]], "species": ["Ga", "Tc", "H"], "frac_coords": [[0.000, 0.000, 0.000], [0.417, 0.417, 0.000], [0.639, 0.639, 0.000]]}

---

# 6
{"formula": "GaTc3H", "functional": "PBE-GGA", "state": "relaxed", "spacegroup": "Pm-3m (221)", "e_tot_ev_per_atom": -7.365, "cell": [[3.934, 0.000, 0.000], [0.000, 3.934, 0.000], [0.000, 0.000, 3.934]], "species": ["Ga", "Tc", "Tc", "Tc", "H"], "frac_coords": [[0.000, 0.000, 0.000], [0.000, 0.500, 0.500], [0.500, 0.000, 0.500], [0.500, 0.500, 0.000], [0.500, 0.500, 0.500]]}